No. 1
# CrHgTe2 (PBEsol, optimized geometry)
# mass density	8.9	g cm⁻³
# formation energy (no corrections)	23	kJ per mole of atoms
# V	94	Å³/cell
data_CrHgTe2
_space_group_name_H-M_alt 'P 1'
_space_group_IT_number 1
_space_group_name_Hall 'P 1'
_cell_length_a 3.253
_cell_length_b 3.253
_cell_length_c 8.913
_cell_angle_alpha 90.00
_cell_angle_beta 90.00
_cell_angle_gamma 90.00
loop_
_atom_site_label
_atom_site_type_symbol
_atom_site_fract_x
_atom_site_fract_y
_atom_site_fract_z
_atom_site_occupancy
Cr1 Cr 0.000 0.000 0.489 1
Hg1 Hg 0.500 0.500 0.706 1
Te1 Te 0.000 0.000 0.979 1
Te2 Te 0.500 0.500 0.327 1


No. 2
# TlCrHg2 (PBEsol, optimized geometry)
# DFT formation energy	38	kJ/mol of atoms
# mass density	12.8	g cm⁻³
# V	86	Å³/cell
data_TlCrHg2
_space_group_name_H-M_alt 'P 1'
_space_group_IT_number 1
_space_group_name_Hall 'P 1'
_cell_length_a 3.498
_cell_length_b 5.148
_cell_length_c 5.209
_cell_angle_alpha 103.50
_cell_angle_beta 109.62
_cell_angle_gamma 90.00
loop_
_atom_site_label
_atom_site_type_symbol
_atom_site_fract_x
_atom_site_fract_y
_atom_site_fract_z
_atom_site_occupancy
Cr1 Cr 0.745 0.240 0.490 1
Hg1 Hg 0.010 0.013 0.019 1
Hg2 Hg 0.254 0.763 0.508 1
Tl1 Tl 0.491 0.483 0.983 1


Copy entry 2 word for word.
# TlCrHg2 (PBEsol, optimized geometry)
# DFT formation energy	38	kJ/mol of atoms
# mass density	12.8	g cm⁻³
# V	86	Å³/cell
data_TlCrHg2
_space_group_name_H-M_alt 'P 1'
_space_group_IT_number 1
_space_group_name_Hall 'P 1'
_cell_length_a 3.498
_cell_length_b 5.148
_cell_length_c 5.209
_cell_angle_alpha 103.50
_cell_angle_beta 109.62
_cell_angle_gamma 90.00
loop_
_atom_site_label
_atom_site_type_symbol
_atom_site_fract_x
_atom_site_fract_y
_atom_site_fract_z
_atom_site_occupancy
Cr1 Cr 0.745 0.240 0.490 1
Hg1 Hg 0.010 0.013 0.019 1
Hg2 Hg 0.254 0.763 0.508 1
Tl1 Tl 0.491 0.483 0.983 1


The highest V belongs to which entry? CrHgTe2


What is the V in the first record? 94 Å³/cell